No. 1
## Ba3CeSn2O9 (GGA-PBE)

Data for a geometry-optimized Ba3CeSn2O9 structure.

## Properties
Formation energy without anion corrections, eV per atom: -2.521
Space group: P-3m1, No. 164

Cell: 6.0463 6.0463 7.4451 Å, 90.00 90.00 120.00°
Last column: nearest neighbours and their distance in Å.
Element x y z (fractional)
Ba: 0.3333 0.6667 0.6759  12 O 2.98-3.12
Ba: 0.0000 0.0000 0.0000  12 O 3.01-3.02
Ba: 0.6667 0.3333 0.3241  12 O 2.98-3.12
Ce: 0.0000 0.0000 0.5000  6 O 2.23
Sn: 0.3333 0.6667 0.1611  6 O 2.08-2.12
Sn: 0.6667 0.3333 0.8389  6 O 2.08-2.12
O: 0.8284 0.1716 0.6764  1 Sn 2.08, 1 Ce 2.23
O: 0.8284 0.6569 0.6764  1 Sn 2.08, 1 Ce 2.23
O: 0.3431 0.1716 0.6764  1 Sn 2.08, 1 Ce 2.23
O: 0.6569 0.8284 0.3236  1 Sn 2.08, 1 Ce 2.23
O: 0.1716 0.3431 0.3236  1 Sn 2.08, 1 Ce 2.23
O: 0.1716 0.8284 0.3236  1 Sn 2.08, 1 Ce 2.23
O: 0.5000 0.0000 0.0000  2 Sn 2.12
O: 0.0000 0.5000 0.0000  2 Sn 2.12
O: 0.5000 0.5000 0.0000  2 Sn 2.12

No. 2
## Ba2CeSnO6 (GGA-PBE)

Data for a geometry-optimized Ba2CeSnO6 structure.

## Properties
Formation energy without anion corrections, eV per atom: -2.659
Energy above the most stable polymorph in this dataset, meV per atom: 38
Space group: P4/mmm, No. 123

Cell: 4.3454 4.3454 8.6692 Å, 90.00 90.00 90.00°
Last column: nearest neighbours and their distance in Å.
Element x y z (fractional)
Ba: 0.0000 0.0000 0.7326  12 O 2.96-3.18
Ba: 0.0000 0.0000 0.2674  12 O 2.96-3.18
Ce: 0.5000 0.5000 0.0000  6 O 2.17-2.30
Sn: 0.5000 0.5000 0.5000  6 O 2.04-2.17
O: 0.5000 0.0000 0.0000  2 Ce 2.17
O: 0.5000 0.0000 0.5000  2 Sn 2.17
O: 0.0000 0.5000 0.0000  2 Ce 2.17
O: 0.0000 0.5000 0.5000  2 Sn 2.17
O: 0.5000 0.5000 0.7350  1 Sn 2.04
O: 0.5000 0.5000 0.2650  1 Sn 2.04

No. 3
## BaSrCeSnO6 (GGA-PBE)

Data for a geometry-optimized BaSrCeSnO6 structure.

## Properties
Formation energy without anion corrections, eV per atom: -2.667
Space group: F-43m, No. 216

Cell: 6.0832 6.0832 6.0832 Å, 60.00 60.00 60.00°
Last column: nearest neighbours and their distance in Å.
Element x y z (fractional)
Ba: 0.2500 0.2500 0.2500  12 O 3.04
Sr: 0.7500 0.7500 0.7500  12 O 3.04
Ce: 0.0000 0.0000 0.0000  6 O 2.22
Sn: 0.5000 0.5000 0.5000  6 O 2.08
O: 0.2580 0.7420 0.2580  1 Sn 2.08, 1 Ce 2.22
O: 0.7420 0.2580 0.7420  1 Sn 2.08, 1 Ce 2.22
O: 0.2580 0.7420 0.7420  1 Sn 2.08, 1 Ce 2.22
O: 0.7420 0.2580 0.2580  1 Sn 2.08, 1 Ce 2.22
O: 0.2580 0.2580 0.7420  1 Sn 2.08, 1 Ce 2.22
O: 0.7420 0.7420 0.2580  1 Sn 2.08, 1 Ce 2.22

No. 4
## BaSrCe2O6 (GGA-PBE)

Data for a geometry-optimized BaSrCe2O6 structure.

## Properties
Formation energy without anion corrections, eV per atom: -3.173
Energy above the most stable polymorph in this dataset, meV per atom: 0
Space group: P2_1/m, No. 11

Cell: 8.7768 6.1686 6.2470 Å, 90.05 90.00 90.00°
Last column: nearest neighbours and their distance in Å.
Element x y z (fractional)
Ba: 0.7500 0.9920 0.0340  6 O 2.70-2.94
Ba: 0.2500 0.0080 0.9660  6 O 2.70-2.94
Sr: 0.2500 0.4904 0.4624  4 O 2.55-2.63
Sr: 0.7500 0.5096 0.5376  4 O 2.55-2.63
Ce: 0.0000 0.0000 0.5000  6 O 2.26-2.28
Ce: 0.0000 0.5000 0.0000  6 O 2.25-2.29
Ce: 0.5000 0.0000 0.5000  6 O 2.26-2.28
Ce: 0.5000 0.5000 0.0000  6 O 2.25-2.29
O: 0.2500 0.5780 0.0497  2 Ce 2.27
O: 0.7500 0.1002 0.4862  2 Ce 2.28, 1 Sr 2.55
O: 0.7500 0.4220 0.9503  2 Ce 2.27
O: 0.2500 0.8998 0.5138  2 Ce 2.28, 1 Sr 2.55
O: 0.9595 0.7891 0.7893  2 Ce 2.25-2.26
O: 0.0554 0.2936 0.7056  2 Ce 2.27-2.29
O: 0.4595 0.2109 0.2107  2 Ce 2.25-2.26
O: 0.5554 0.7064 0.2944  2 Ce 2.27-2.29
O: 0.0405 0.2109 0.2107  2 Ce 2.25-2.26
O: 0.9446 0.7064 0.2944  2 Ce 2.27-2.29
O: 0.5405 0.7891 0.7893  2 Ce 2.25-2.26
O: 0.4446 0.2936 0.7056  2 Ce 2.27-2.29

No. 5
## BaSrCe4O12 (GGA-PBE)

Data for a geometry-optimized BaSrCe4O12 structure.

## Properties
Formation energy without anion corrections, eV per atom: -2.584
Space group: Amm2, No. 38

Cell: 6.2376 6.2376 8.7659 Å, 90.00 90.00 93.12°
Last column: nearest neighbours and their distance in Å.
Element x y z (fractional)
Ba: 0.4455 0.4455 0.0000  8 O 2.77-2.93
Sr: 0.0418 0.0418 0.5000  6 O 2.48-2.69
Ce: 0.9808 0.5211 0.7433  5 O 2.20-2.25
Ce: 0.9808 0.5211 0.2567  5 O 2.20-2.25
Ce: 0.5211 0.9808 0.2567  5 O 2.20-2.25
Ce: 0.5211 0.9808 0.7433  5 O 2.20-2.25
O: 0.6999 0.2950 0.7688  2 Ce 2.20-2.21
O: 0.2950 0.6999 0.7688  2 Ce 2.20-2.21
O: 0.2950 0.6999 0.2312  2 Ce 2.20-2.21
O: 0.6999 0.2950 0.2312  2 Ce 2.20-2.21
O: 0.2153 0.2153 0.7560  2 Ce 2.47, 1 Sr 2.69
O: 0.8166 0.8166 0.6942  2 Ce 2.20
O: 0.8166 0.8166 0.3058  2 Ce 2.20
O: 0.2153 0.2153 0.2440  2 Ce 2.47, 1 Sr 2.69
O: 0.9850 0.5144 0.0000  2 Ce 2.25
O: 0.0102 0.4359 0.5000  2 Ce 2.21
O: 0.5144 0.9850 0.0000  2 Ce 2.25
O: 0.4359 0.0102 0.5000  2 Ce 2.21

No. 6
## BaSrCe2O6 (GGA-PBE)

Data for a geometry-optimized BaSrCe2O6 structure.

## Properties
Formation energy without anion corrections, eV per atom: -3.081
Energy above the most stable polymorph in this dataset, meV per atom: 92
Space group: P4/mmm, No. 123

Cell: 4.4492 4.4492 8.8966 Å, 90.00 90.00 90.00°
Last column: nearest neighbours and their distance in Å.
Element x y z (fractional)
Ba: 0.5000 0.5000 0.0000  12 O 3.15-3.20
Sr: 0.5000 0.5000 0.5000  12 O 3.10-3.15
Ce: 0.0000 0.0000 0.7469  6 O 2.20-2.25
Ce: 0.0000 0.0000 0.2531  6 O 2.20-2.25
O: 0.5000 0.0000 0.7421  2 Ce 2.22
O: 0.5000 0.0000 0.2579  2 Ce 2.22
O: 0.0000 0.0000 0.5000  2 Ce 2.20
O: 0.0000 0.0000 0.0000  2 Ce 2.25
O: 0.0000 0.5000 0.7421  2 Ce 2.22
O: 0.0000 0.5000 0.2579  2 Ce 2.22

No. 7
## BaSrCe2O6 (GGA-PBE)

Data for a geometry-optimized BaSrCe2O6 structure.

## Properties
Formation energy without anion corrections, eV per atom: -3.135
Energy above the most stable polymorph in this dataset, meV per atom: 38
Space group: Cmmm, No. 65

Cell: 6.1743 6.1743 4.4811 Å, 90.00 90.00 90.50°
Last column: nearest neighbours and their distance in Å.
Element x y z (fractional)
Ba: 0.0000 0.0000 0.5000  8 O 2.78-3.09
Sr: 0.5000 0.5000 0.5000  4 O 2.74
Ce: 0.0000 0.5000 0.0000  6 O 2.24-2.27
Ce: 0.5000 0.0000 0.0000  6 O 2.24-2.27
O: 0.0000 0.5000 0.5000  2 Ce 2.24
O: 0.5000 0.0000 0.5000  2 Ce 2.24
O: 0.6811 0.6811 0.0000  2 Ce 2.27
O: 0.3189 0.3189 0.0000  2 Ce 2.27
O: 0.1872 0.8128 0.0000  2 Ce 2.24
O: 0.8128 0.1872 0.0000  2 Ce 2.24

No. 8
## Ba3CeTa2O9 (GGA-PBE)

Data for a geometry-optimized Ba3CeTa2O9 structure.

## Properties
Formation energy without anion corrections, eV per atom: -2.976
Space group: P-3m1, No. 164

Cell: 6.0141 6.0141 7.4376 Å, 90.00 90.00 120.00°
Last column: nearest neighbours and their distance in Å.
Element x y z (fractional)
Ba: 0.3333 0.6667 0.6746  12 O 2.98-3.15
Ba: 0.0000 0.0000 0.0000  12 O 2.96-3.01
Ba: 0.6667 0.3333 0.3254  12 O 2.98-3.15
Ce: 0.0000 0.0000 0.5000  6 O 2.31
Ta: 0.3333 0.6667 0.1574  6 O 2.00-2.09
Ta: 0.6667 0.3333 0.8426  6 O 2.00-2.09
O: 0.8233 0.1767 0.6874  1 Ta 2.00
O: 0.8233 0.6467 0.6874  1 Ta 2.00
O: 0.3533 0.1767 0.6874  1 Ta 2.00
O: 0.6467 0.8233 0.3126  1 Ta 2.00
O: 0.1767 0.3533 0.3126  1 Ta 2.00
O: 0.1767 0.8233 0.3126  1 Ta 2.00
O: 0.5000 0.0000 0.0000  2 Ta 2.09
O: 0.0000 0.5000 0.0000  2 Ta 2.09
O: 0.5000 0.5000 0.0000  2 Ta 2.09

What is the formation energy without anion corrections in the second record?
-2.659 eV per atom